[1]
# CrTc2Ir (PBE-GGA, optimized geometry)
# ρ (g/cm3): 13.12
# Formation energy from the elements (eV per atom): -0.046
# Total moment (μB per atom): 0.0001
# Electronic total energy (eV for the cell shown): -78.80
data_CrTc2Ir
_chemical_formula_sum 'Cr2 Tc4 Ir2'
_cell_length_a 3.816
_cell_length_b 3.816
_cell_length_c 7.653
_cell_angle_alpha 90.00
_cell_angle_beta 90.00
_cell_angle_gamma 90.00
_symmetry_space_group_name_H-M 'I -4 m 2'
_symmetry_Int_Tables_number 119
_symmetry_space_group_name_Hall 'I -4 -2'
loop_
_atom_site_label
_atom_site_type_symbol
_atom_site_fract_x
_atom_site_fract_y
_atom_site_fract_z
Cr1 Cr 0.000 0.000 0.000
Tc1 Tc 0.000 0.000 0.500
Tc2 Tc 0.000 0.500 0.750
Ir1 Ir 0.000 0.500 0.250

---

[2]
# Nd3InNi8 (PBE-GGA, optimized geometry)
# ρ (g/cm3): 8.90
# Formation energy from the elements (eV per atom): -0.313
# Total moment (μB per atom): 0.0000
# Electronic total energy (eV for the cell shown): -201.13
data_Nd3InNi8
_chemical_formula_sum 'Nd9 In3 Ni24'
_cell_length_a 5.1099
_cell_length_b 5.1099
_cell_length_c 25.1771
_cell_angle_alpha 90.00
_cell_angle_beta 90.00
_cell_angle_gamma 120.00
_symmetry_space_group_name_H-M 'R 3 m'
_symmetry_Int_Tables_number 160
_symmetry_space_group_name_Hall 'R 3 -2"'
loop_
_atom_site_label
_atom_site_type_symbol
_atom_site_fract_x
_atom_site_fract_y
_atom_site_fract_z
Nd1 Nd 0.0000 0.0000 0.0000
Nd2 Nd 0.0000 0.0000 0.1272
Nd3 Nd 0.0000 0.0000 0.5086
In1 In 0.0000 0.0000 0.6313
Ni1 Ni 0.0000 0.0000 0.3157
Ni2 Ni 0.0000 0.0000 0.8158
Ni3 Ni 0.1676 0.3352 0.9005
Ni4 Ni 0.1678 0.3355 0.3984

---

[3]
# Ir2RuW (PBE-GGA, optimized geometry)
# ρ (g/cm3): 18.80
# Formation energy from the elements (eV per atom): -0.024
# Total moment (μB per atom): 0.0000
# Electronic total energy (eV for the cell shown): -120.14
data_Ir2RuW
_chemical_formula_sum 'Ir6 Ru3 W3'
_cell_length_a 2.7651
_cell_length_b 2.7651
_cell_length_c 26.7845
_cell_angle_alpha 90.00
_cell_angle_beta 90.00
_cell_angle_gamma 120.00
_symmetry_space_group_name_H-M 'R -3 m'
_symmetry_Int_Tables_number 166
_symmetry_space_group_name_Hall '-R 3 2"'
loop_
_atom_site_label
_atom_site_type_symbol
_atom_site_fract_x
_atom_site_fract_y
_atom_site_fract_z
Ir1 Ir 0.0000 0.0000 0.2493
Ru1 Ru 0.0000 0.0000 0.5000
W1 W 0.0000 0.0000 0.0000